Record 1
K12Bi7Pt: optimized geometry, PBE-GGA.

It has space group R-3 (No. 148, hexagonal axes), with a = 16.3616 Å, b = 16.3616 Å, c = 11.7826 Å, α = 90.00°, β = 90.00° and γ = 120.00°. Symmetry generates all atoms from K at (0.0337, 0.1587, 0.2522), K at (0.0595, 0.2705, 0.6035), Bi at (0.0000, 0.0000, 0.5000), Bi at (0.0498, 0.1992, 0.9507) and Pt at (0.0000, 0.0000, 0.0000).

As for the crystal system: trigonal. The formation energy comes out at -0.2506 eV per atom. The calculation puts the volume at 2731.6 Å³ per cell. For the density of states at the Fermi level, the calculation gives 26.76 states/eV per cell. Its size of the total moment is 0.0 Bohr magnetons per cell.

***

Record 2
K2Bi2Pt: optimized geometry, PBE-GGA.

It has space group P4/mbm (No. 127), with a = 7.376 Å, b = 7.376 Å, c = 5.928 Å, α = 90.00°, β = 90.00° and γ = 90.00°. Symmetry generates all atoms from K at (0.171, 0.329, 0.000), Bi at (0.150, 0.650, 0.500) and Pt at (0.000, 0.000, 0.500).

As for the crystal system: tetragonal. The formation energy comes out at -0.2916 eV per atom. The calculation puts the volume at 322.5 Å³ per cell. For the density of states at the Fermi level, the calculation gives 5.54 states/eV per cell. Its size of the total moment is 0.0 Bohr magnetons per cell.

***

Record 3
KRb2BiPt: optimized geometry, PBE-GGA.

It has space group P4/mmm (No. 123), with a = 6.628 Å, b = 6.628 Å, c = 5.276 Å, α = 90.00°, β = 90.00° and γ = 90.00°. Symmetry generates all atoms from K at (0.000, 0.000, 0.000), Rb at (0.000, 0.500, 0.500), Bi at (0.500, 0.500, 0.000) and Pt at (0.500, 0.500, 0.500).

As for the crystal system: tetragonal. The formation energy comes out at -0.1073 eV per atom. The calculation puts the volume at 231.8 Å³ per cell. For the density of states at the Fermi level, the calculation gives 2.75 states/eV per cell. Its size of the total moment is 0.2 Bohr magnetons per cell.

***

Record 4
K2RbBiPt: optimized geometry, PBE-GGA.

It has space group P4/mmm (No. 123), with a = 6.264 Å, b = 6.264 Å, c = 5.432 Å, α = 90.00°, β = 90.00° and γ = 90.00°. Symmetry generates all atoms from K at (0.000, 0.500, 0.000), Rb at (0.000, 0.000, 0.500), Bi at (0.500, 0.500, 0.500) and Pt at (0.500, 0.500, 0.000).

As for the crystal system: tetragonal. The formation energy comes out at -0.1582 eV per atom. The calculation puts the volume at 213.2 Å³ per cell. For the density of states at the Fermi level, the calculation gives 3.05 states/eV per cell. Its size of the total moment is 0.0 Bohr magnetons per cell.